# CuPW2

A PBEsol-optimized structure of CuPW2 (meta-GGA SCAN, Alexandria via LeMat-Bulk).

Computed properties:
Formation energy, eV per atom: 0.348
Density, g cm⁻³: 13.88
Total DFT energy (no corrections), eV per atom: -40.8950

```
data_CuPW2
_space_group_name_H-M_alt 'P 4 m m'
_space_group_IT_number 99
_cell_length_a 2.914
_cell_length_b 2.914
_cell_length_c 6.514
_cell_angle_alpha 90.00
_cell_angle_beta 90.00
_cell_angle_gamma 90.00
loop_
_space_group_symop_operation_xyz
'x,y,z'
'-y,x,z'
'-x,-y,z'
'y,-x,z'
'-x,y,z'
'y,x,z'
'x,-y,z'
'-y,-x,z'
loop_
_atom_site_label
_atom_site_fract_x
_atom_site_fract_y
_atom_site_fract_z
Cu1 0.000 0.000 0.000
P1 0.500 0.500 0.221
W1 0.000 0.000 0.428
W2 0.500 0.500 0.738
```

# YCuP4

A PBEsol-optimized structure of YCuP4 (meta-GGA SCAN, Alexandria via LeMat-Bulk).

Computed properties:
Formation energy, eV per atom: 0.085
Density, g cm⁻³: 4.85
Total DFT energy (no corrections), eV per atom: -14.0209

```
data_YCuP4
_space_group_name_H-M_alt 'F -4 3 m'
_space_group_IT_number 216
_space_group_name_Hall 'F -4 2 3'
_cell_length_a 7.235
_cell_length_b 7.235
_cell_length_c 7.235
_cell_angle_alpha 90.00
_cell_angle_beta 90.00
_cell_angle_gamma 90.00
loop_
_atom_site_label
_atom_site_fract_x
_atom_site_fract_y
_atom_site_fract_z
Y1 0.000 0.000 0.000
Cu1 0.250 0.250 0.750
P1 0.119 0.119 0.381
```

# YZnCuP2

A PBEsol-optimized structure of YZnCuP2 (meta-GGA SCAN, Alexandria via LeMat-Bulk).

Computed properties:
Formation energy, eV per atom: -0.890
Density, g cm⁻³: 5.42
Total DFT energy (no corrections), eV per atom: -16.3606

```
data_YZnCuP2
_space_group_name_H-M_alt 'P 3 m 1'
_space_group_IT_number 156
_cell_length_a 3.9193
_cell_length_b 3.9193
_cell_length_c 6.4493
_cell_angle_alpha 90.00
_cell_angle_beta 90.00
_cell_angle_gamma 120.00
loop_
_space_group_symop_operation_xyz
'x,y,z'
'-y,x-y,z'
'-x+y,-x,z'
'-y,-x,z'
'-x+y,y,z'
'x,x-y,z'
loop_
_atom_site_label
_atom_site_fract_x
_atom_site_fract_y
_atom_site_fract_z
Y1 0.0000 0.0000 0.0000
Zn1 0.3333 0.6667 0.6116
Cu1 0.6667 0.3333 0.3449
P1 0.3333 0.6667 0.2424
P2 0.6667 0.3333 0.7300
```

Which of these has the highest total DFT energy (no corrections)? YCuP4

Look up the formation energy of the third one. -0.890 eV per atom

Which value of density does entry 3 give? 5.42 g cm⁻³